An optimized crystal structure of KAc2Au2O6, computed with GGA-PBE.

Output
energy	-5.79	eV/atom
formation energy (no corrections)	-1639	meV/atom
volume	21.488	Å³/atom

CIF file:
```
data_KAc2Au2O6
_chemical_formula_sum 'K1 Ac2 Au2 O6'
_space_group_name_H-M_alt 'P -1'
_space_group_IT_number 2
_cell_length_a 5.9621
_cell_length_b 6.5963
_cell_length_c 7.2956
_cell_angle_alpha 102.28
_cell_angle_beta 113.06
_cell_angle_gamma 106.06
loop_
_space_group_symop_operation_xyz
'x,y,z'
'-x,-y,-z'
loop_
_atom_site_label
_atom_site_type_symbol
_atom_site_fract_x
_atom_site_fract_y
_atom_site_fract_z
_atom_site_occupancy
K1 K 0.0000 0.0000 0.0000 1
Ac1 Ac 0.3242 0.6540 0.3191 1
Au1 Au 0.3833 0.7974 0.8325 1
O1 O 0.1479 0.6311 0.9326 1
O2 O 0.3327 0.4955 0.6167 1
O3 O 0.4406 0.0471 0.3156 1
```